Material: LiSbRhI2
Method: DFT, PBE-GGA
State: optimized geometry

Geometry as POSCAR:
```
LiSbRhI2
1.0
5.750 0.000 0.000
0.000 5.750 0.000
0.000 0.000 4.960
Li Sb Rh I
1 1 1 2
Direct
0.000 0.000 0.000 Li
0.500 0.500 0.000 Sb
0.500 0.500 0.500 Rh
0.000 0.500 0.500 I
0.500 0.000 0.500 I
```

## Properties
Spin magnetization in Bohr magnetons per cell: 0.00
Energy relative to the elements, uncorrected in eV/atom: -0.070
Relative energy among the computed polymorphs in meV per atom: 0
Theoretical density in g cm⁻³: 4.92